[1]
# NdTh2Tc9 PBE-GGA optimized geometry
# SG ... C2/m (12)
# Raw total energy ... -9.40 eV/atom
# Mass density ... 10.89 g/cm³
# Formation energy from the elements ... 0.0055 eV per atom
data_NdTh2Tc9
_chemical_formula_sum 'Nd1 Th2 Tc9'
_cell_length_a 5.538
_cell_length_b 5.538
_cell_length_c 9.088
_cell_angle_alpha 103.91
_cell_angle_beta 103.91
_cell_angle_gamma 57.98
_space_group_name_H-M_alt 'P 1'
_space_group_IT_number 1
loop_
_space_group_symop_operation_xyz
'x,y,z'
loop_
_atom_site_label
_atom_site_fract_x
_atom_site_fract_y
_atom_site_fract_z
Nd1 0.000 0.000 0.000
Th1 0.144 0.144 0.425
Th2 0.856 0.856 0.575
Tc1 0.059 0.603 0.238
Tc2 0.355 0.355 0.014
Tc3 0.397 0.941 0.762
Tc4 0.420 0.420 0.744
Tc5 0.500 0.500 0.500
Tc6 0.580 0.580 0.256
Tc7 0.603 0.059 0.238
Tc8 0.645 0.645 0.986
Tc9 0.941 0.397 0.762


[2]
# Dy2Sc2Tl PBE-GGA optimized geometry
# ΔE to the lowest computed polymorph ... 0.144 eV per atom
# SG ... Pbam (55)
# Raw total energy ... -4.71 eV/atom
# Mass density ... 7.28 g/cm³
# Formation energy from the elements ... 0.1394 eV per atom
data_Dy2Sc2Tl
_chemical_formula_sum 'Dy4 Sc4 Tl2'
_cell_length_a 8.198
_cell_length_b 8.212
_cell_length_c 4.195
_cell_angle_alpha 90.00
_cell_angle_beta 90.00
_cell_angle_gamma 90.00
_space_group_name_H-M_alt 'P 1'
_space_group_IT_number 1
loop_
_space_group_symop_operation_xyz
'x,y,z'
loop_
_atom_site_label
_atom_site_fract_x
_atom_site_fract_y
_atom_site_fract_z
Dy1 0.149 0.149 0.000
Dy2 0.351 0.649 0.000
Dy3 0.649 0.351 0.000
Dy4 0.851 0.851 0.000
Sc1 0.147 0.854 0.500
Sc2 0.353 0.354 0.500
Sc3 0.647 0.646 0.500
Sc4 0.853 0.146 0.500
Tl1 0.000 0.500 0.000
Tl2 0.500 0.000 0.000


[3]
# PuTlCdBi PBE-GGA optimized geometry
# ΔE to the lowest computed polymorph ... 0.158 eV per atom
# SG ... F-43m (216)
# Raw total energy ... -5.41 eV/atom
# Mass density ... 11.36 g/cm³
# Formation energy from the elements ... -0.0374 eV per atom
data_PuTlCdBi
_chemical_formula_sum 'Pu1 Tl1 Cd1 Bi1'
_cell_length_a 5.419
_cell_length_b 5.419
_cell_length_c 5.419
_cell_angle_alpha 60.00
_cell_angle_beta 60.00
_cell_angle_gamma 60.00
_space_group_name_H-M_alt 'P 1'
_space_group_IT_number 1
loop_
_space_group_symop_operation_xyz
'x,y,z'
loop_
_atom_site_label
_atom_site_fract_x
_atom_site_fract_y
_atom_site_fract_z
Pu1 0.000 0.000 0.000
Tl1 0.750 0.750 0.750
Cd1 0.500 0.500 0.500
Bi1 0.250 0.250 0.250